Entry 1:
First-principles (PBE-GGA) data for a geometry-optimized BeNb3Pt structure, as listed in Alexandria via LeMat-Bulk.

Values from the calculation:
Energy above the most stable polymorph in this dataset   0.0 kJ per mole of atoms
SG   Pm-3m, No. 221
Formation energy from the elements   302 meV per atom

```
BeNb3Pt
1.0
4.3734 0.0000 0.0000
0.0000 4.3734 0.0000
0.0000 0.0000 4.3734
Be Nb Pt
1 3 1
direct
0.0000 0.0000 0.0000
0.0000 0.0000 0.5000
0.0000 0.5000 0.0000
0.5000 0.0000 0.0000
0.5000 0.5000 0.5000
```


Entry 2:
First-principles (PBE-GGA) data for a geometry-optimized La12Co5Sn structure, as listed in Alexandria via LeMat-Bulk.

Values from the calculation:
SG   Immm, No. 71
Formation energy from the elements   -215 meV per atom

```
La12Co5Sn
1.0
-4.8924 5.0231 5.1793
4.8924 -5.0231 5.1793
4.8924 5.0231 -5.1793
La Co Sn
12 5 1
direct
0.0097 0.1936 0.8160
0.1776 0.3123 0.4899
0.1776 0.6877 0.8654
0.3288 0.0145 0.6856
0.3288 0.6432 0.3144
0.3776 0.1936 0.1840
0.6224 0.8064 0.8160
0.6712 0.3568 0.6856
0.6712 0.9855 0.3144
0.8224 0.3123 0.1346
0.8224 0.6877 0.5101
0.9903 0.8064 0.1840
0.0000 0.0000 0.0000
0.1318 0.6318 0.5000
0.3577 0.0000 0.3577
0.6423 0.0000 0.6423
0.8682 0.3682 0.5000
0.5000 0.5000 0.0000
```


Entry 3:
First-principles (PBE-GGA) data for a geometry-optimized Er6Tm4Th structure, as listed in Alexandria via LeMat-Bulk.

Values from the calculation:
SG   Cmcm, No. 63
Formation energy from the elements   142 meV per atom

```
Er6Tm4Th
1.0
2.7980 -4.8142 0.0000
2.7980 4.8142 0.0000
0.0000 0.0000 25.3393
Er Tm Th
12 8 2
direct
0.0000 0.0000 0.0000
0.0000 0.0000 0.5000
0.0073 0.9927 0.7500
0.3279 0.6721 0.1010
0.3279 0.6721 0.3990
0.3401 0.6599 0.6822
0.3401 0.6599 0.8178
0.6599 0.3401 0.1822
0.6599 0.3401 0.3178
0.6721 0.3279 0.6010
0.6721 0.3279 0.8990
0.9927 0.0073 0.2500
0.0067 0.9933 0.6220
0.0067 0.9933 0.8780
0.3353 0.6647 0.5412
0.3353 0.6647 0.9588
0.6647 0.3353 0.0412
0.6647 0.3353 0.4588
0.9933 0.0067 0.1220
0.9933 0.0067 0.3780
0.3267 0.6733 0.2500
0.6733 0.3267 0.7500
```


Entry 4:
First-principles (PBE-GGA) data for a geometry-optimized Sr4GaI3 structure, as listed in Alexandria via LeMat-Bulk.

Values from the calculation:
SG   P2/c, No. 13

```
Sr4GaI3
1.0
8.4487 0.0000 0.0000
0.0000 10.0219 0.0000
-2.6024 0.0000 7.9172
Sr Ga I
8 2 6
direct
0.2028 0.0965 0.4966
0.2028 0.9035 0.9966
0.2222 0.3409 0.9630
0.2222 0.6591 0.4630
0.7778 0.3409 0.5370
0.7778 0.6591 0.0370
0.7972 0.0965 0.0034
0.7972 0.9035 0.5034
0.0000 0.1259 0.7500
0.0000 0.8741 0.2500
0.0000 0.3867 0.2500
0.0000 0.6133 0.7500
0.5000 0.1383 0.2500
0.5000 0.4178 0.7500
0.5000 0.5822 0.2500
0.5000 0.8617 0.7500
```


Entry 5:
First-principles (PBE-GGA) data for a geometry-optimized AlCr2Co structure, as listed in Alexandria via LeMat-Bulk.

Values from the calculation:
SG   P2/m, No. 10
Formation energy from the elements   -31 meV per atom

```
AlCr2Co
1.0
2.5174 0.0000 0.0000
0.0000 4.0296 0.0000
-1.0948 0.0000 4.6586
Al Cr Co
1 2 1
direct
0.0000 0.0000 0.0000
0.4818 0.5000 0.7486
0.5182 0.5000 0.2514
0.0000 0.0000 0.5000
```


Entry 6:
First-principles (PBE-GGA) data for a geometry-optimized Be16NiMo2 structure, as listed in Alexandria via LeMat-Bulk.

Values from the calculation:
SG   R3m, No. 160
Formation energy from the elements   -209 meV per atom

```
Be16NiMo2
1.0
3.6573 2.1115 3.5490
-3.6573 2.1115 3.5490
0.0000 -4.2230 3.5490
Be Ni Mo
16 1 2
direct
0.0491 0.0491 0.0491
0.1541 0.1541 0.6526
0.1541 0.6526 0.1541
0.1554 0.4531 0.8566
0.1554 0.8566 0.4531
0.3153 0.8034 0.8034
0.4531 0.1554 0.8566
0.4531 0.8566 0.1554
0.5031 0.5031 0.9939
0.5031 0.9939 0.5031
0.6526 0.1541 0.1541
0.8034 0.3153 0.8034
0.8034 0.8034 0.3153
0.8566 0.1554 0.4531
0.8566 0.4531 0.1554
0.9939 0.5031 0.5031
0.2484 0.2484 0.2484
0.4974 0.4974 0.4974
0.8158 0.8158 0.8158
```


Entry 7:
First-principles (PBE-GGA) data for a geometry-optimized Dy4AsPSe2 structure, as listed in Alexandria via LeMat-Bulk.

Values from the calculation:
SG   P2/m, No. 10

```
Dy4AsPSe2
1.0
7.0339 0.0000 0.0000
0.0000 4.0581 0.0000
-2.3474 0.0000 6.7085
Dy As P Se
4 1 1 2
direct
0.2379 0.0000 0.2305
0.2496 0.5000 0.7658
0.7504 0.5000 0.2342
0.7621 0.0000 0.7695
0.5000 0.0000 0.0000
0.0000 0.5000 0.0000
0.0000 0.0000 0.5000
0.5000 0.5000 0.5000
```


Entry 8:
First-principles (PBE-GGA) data for a geometry-optimized La2Pr5 structure, as listed in Alexandria via LeMat-Bulk.

Values from the calculation:
Energy above the most stable polymorph in this dataset   8.8 kJ per mole of atoms
SG   R-3m, No. 166
Formation energy from the elements   105 meV per atom

```
La2Pr5
1.0
2.9433 1.6993 8.5289
-2.9433 1.6993 8.5289
0.0000 -3.3986 8.5289
La Pr
2 5
direct
0.1356 0.1356 0.1356
0.8644 0.8644 0.8644
0.0000 0.0000 0.0000
0.2714 0.2714 0.2714
0.4146 0.4146 0.4146
0.5854 0.5854 0.5854
0.7286 0.7286 0.7286
```


Entry 9:
First-principles (PBE-GGA) data for a geometry-optimized NbCoBP2 structure, as listed in Alexandria via LeMat-Bulk.

Values from the calculation:
SG   P4/mmm, No. 123
Formation energy from the elements   1207 meV per atom

```
NbCoBP2
1.0
4.7765 0.0000 0.0000
0.0000 4.7765 0.0000
0.0000 0.0000 4.2850
Nb Co B P
1 1 1 2
direct
0.0000 0.0000 0.0000
0.5000 0.5000 0.5000
0.0000 0.0000 0.5000
0.0000 0.5000 0.0000
0.5000 0.0000 0.0000
```


Entry 10:
First-principles (PBE-GGA) data for a geometry-optimized PmTmRh structure, as listed in Alexandria via LeMat-Bulk.

Values from the calculation:
Energy above the most stable polymorph in this dataset   2.9 kJ per mole of atoms
SG   P2_1/c, No. 14
Formation energy from the elements   -526 meV per atom

```
PmTmRh
1.0
6.9008 0.0000 0.0000
0.0000 5.9857 0.0000
-6.4134 0.0000 8.0351
Pm Tm Rh
4 4 4
direct
0.1853 0.1327 0.3848
0.1853 0.3673 0.8848
0.8147 0.6327 0.1152
0.8147 0.8673 0.6152
0.3368 0.6177 0.6312
0.3368 0.8823 0.1312
0.6632 0.1177 0.8688
0.6632 0.3823 0.3688
0.3357 0.6679 0.3642
0.3357 0.8321 0.8642
0.6643 0.1679 0.1358
0.6643 0.3321 0.6358
```


Entry 11:
First-principles (PBE-GGA) data for a geometry-optimized CsVGeTe3 structure, as listed in Alexandria via LeMat-Bulk.

Values from the calculation:
SG   P2_1/m, No. 11

```
CsVGeTe3
1.0
9.6071 0.0000 0.0000
0.0000 4.1256 0.0000
-4.2995 0.0000 10.4619
Cs V Ge Te
2 2 2 6
direct
0.0651 0.2500 0.2788
0.9349 0.7500 0.7212
0.4772 0.7500 0.8707
0.5228 0.2500 0.1293
0.4369 0.2500 0.5529
0.5631 0.7500 0.4471
0.2693 0.7500 0.6052
0.2981 0.2500 0.9008
0.3688 0.7500 0.2034
0.6312 0.2500 0.7966
0.7019 0.7500 0.0992
0.7307 0.2500 0.3948
```


Entry 12:
First-principles (PBE-GGA) data for a geometry-optimized PrGdNiPt structure, as listed in Alexandria via LeMat-Bulk.

Values from the calculation:
SG   F-43m, No. 216
Formation energy from the elements   -666 meV per atom

```
PrGdNiPt
1.0
7.0773 0.0000 0.0000
0.0000 7.0773 0.0000
0.0000 0.0000 7.0773
Pr Gd Ni Pt
4 4 4 4
direct
0.0000 0.0000 0.0000
0.0000 0.5000 0.5000
0.5000 0.0000 0.5000
0.5000 0.5000 0.0000
0.0000 0.0000 0.5000
0.0000 0.5000 0.0000
0.5000 0.0000 0.0000
0.5000 0.5000 0.5000
0.2500 0.2500 0.2500
0.2500 0.7500 0.7500
0.7500 0.2500 0.7500
0.7500 0.7500 0.2500
0.2500 0.2500 0.7500
0.2500 0.7500 0.2500
0.7500 0.2500 0.2500
0.7500 0.7500 0.7500
```


Entry 13:
First-principles (PBE-GGA) data for a geometry-optimized Hf2TcPt structure, as listed in Alexandria via LeMat-Bulk.

Values from the calculation:
SG   I-42d, No. 122
Formation energy from the elements   164 meV per atom

```
Hf2TcPt
1.0
4.2789 0.0000 0.0000
0.0000 4.2789 0.0000
0.0000 0.0000 17.6855
Hf Tc Pt
8 4 4
direct
0.2460 0.2500 0.1250
0.2500 0.7460 0.3750
0.2500 0.7540 0.8750
0.2540 0.2500 0.6250
0.7460 0.7500 0.6250
0.7500 0.2460 0.8750
0.7500 0.2540 0.3750
0.7540 0.7500 0.1250
0.0000 0.0000 0.0000
0.0000 0.5000 0.2500
0.5000 0.0000 0.7500
0.5000 0.5000 0.5000
0.0000 0.0000 0.5000
0.0000 0.5000 0.7500
0.5000 0.0000 0.2500
0.5000 0.5000 0.0000
```


Entry 14:
First-principles (PBE-GGA) data for a geometry-optimized Li3PbS4O12 structure, as listed in Alexandria via LeMat-Bulk.

Values from the calculation:
SG   R32, No. 155

```
Li3PbS4O12
1.0
5.1941 2.9988 2.6522
-5.1941 2.9988 2.6522
0.0000 -5.9976 2.6522
Li Pb S O
3 1 4 12
direct
0.0000 0.5759 0.4241
0.4241 0.0000 0.5758
0.5758 0.4241 0.0000
0.0000 0.0000 0.0000
0.1016 0.5000 0.8984
0.5000 0.5000 0.5000
0.5000 0.8984 0.1016
0.8984 0.1016 0.5000
0.0116 0.6370 0.7473
0.0441 0.9559 0.5000
0.2527 0.3630 0.9884
0.3615 0.6385 0.5000
0.3630 0.9884 0.2527
0.5000 0.0441 0.9559
0.5000 0.3615 0.6385
0.6370 0.7473 0.0116
0.6385 0.5000 0.3615
0.7473 0.0116 0.6370
0.9559 0.5000 0.0441
0.9884 0.2527 0.3630
```


Entry 15:
First-principles (PBE-GGA) data for a geometry-optimized VFeP2 structure, as listed in Alexandria via LeMat-Bulk.

Values from the calculation:
Energy above the most stable polymorph in this dataset   0.0 kJ per mole of atoms
SG   Fm-3m, No. 225
Formation energy from the elements   -296 meV per atom

```
VFeP2
1.0
5.7010 0.0000 0.0000
0.0000 5.7010 0.0000
0.0000 0.0000 5.7010
V Fe P
4 4 8
direct
0.0000 0.0000 0.0000
0.0000 0.5000 0.5000
0.5000 0.0000 0.5000
0.5000 0.5000 0.0000
0.0000 0.0000 0.5000
0.0000 0.5000 0.0000
0.5000 0.0000 0.0000
0.5000 0.5000 0.5000
0.2500 0.2500 0.2500
0.2500 0.2500 0.7500
0.2500 0.7500 0.2500
0.2500 0.7500 0.7500
0.7500 0.2500 0.2500
0.7500 0.2500 0.7500
0.7500 0.7500 0.2500
0.7500 0.7500 0.7500
```


Entry 16:
First-principles (PBE-GGA) data for a geometry-optimized CsAs2F structure, as listed in Alexandria via LeMat-Bulk.

Values from the calculation:
SG   Fm-3m, No. 225

```
CsAs2F
1.0
7.3845 0.0000 0.0000
0.0000 7.3845 0.0000
0.0000 0.0000 7.3845
Cs As F
4 8 4
direct
0.0000 0.0000 0.0000
0.0000 0.5000 0.5000
0.5000 0.0000 0.5000
0.5000 0.5000 0.0000
0.2500 0.2500 0.2500
0.2500 0.2500 0.7500
0.2500 0.7500 0.2500
0.2500 0.7500 0.7500
0.7500 0.2500 0.2500
0.7500 0.2500 0.7500
0.7500 0.7500 0.2500
0.7500 0.7500 0.7500
0.0000 0.0000 0.5000
0.0000 0.5000 0.0000
0.5000 0.0000 0.0000
0.5000 0.5000 0.5000
```


Entry 17:
First-principles (PBE-GGA) data for a geometry-optimized Pr4Dy3Tm4 structure, as listed in Alexandria via LeMat-Bulk.

Values from the calculation:
Energy above the most stable polymorph in this dataset   12.8 kJ per mole of atoms
SG   Amm2, No. 38
Formation energy from the elements   154 meV per atom

```
Pr4Dy3Tm4
1.0
10.7112 0.0000 0.0000
0.0000 2.8416 6.0057
0.0000 -2.8416 6.0057
Pr Dy Tm
4 3 4
direct
0.0000 0.0000 0.0000
0.2090 0.7952 0.7952
0.5000 0.9198 0.9198
0.7910 0.7952 0.7952
0.0000 0.2935 0.2935
0.2850 0.4527 0.4527
0.7150 0.4527 0.4527
0.0000 0.5939 0.5939
0.3050 0.1446 0.1446
0.5000 0.6459 0.6459
0.6950 0.1446 0.1446
```


Entry 18:
First-principles (PBE-GGA) data for a geometry-optimized CaSiTe2I structure, as listed in Alexandria via LeMat-Bulk.

Values from the calculation:
Energy above the most stable polymorph in this dataset   63.2 kJ per mole of atoms
SG   P4/mmm, No. 123

```
CaSiTe2I
1.0
5.8947 0.0000 0.0000
0.0000 5.8947 0.0000
0.0000 0.0000 5.7882
Ca Si Te I
1 1 2 1
direct
0.0000 0.0000 0.0000
0.5000 0.5000 0.5000
0.0000 0.5000 0.0000
0.5000 0.0000 0.0000
0.0000 0.0000 0.5000
```


Entry 19:
First-principles (PBE-GGA) data for a geometry-optimized Dy4Ho3Tm4 structure, as listed in Alexandria via LeMat-Bulk.

Values from the calculation:
Energy above the most stable polymorph in this dataset   11.8 kJ per mole of atoms
SG   Immm, No. 71
Formation energy from the elements   184 meV per atom

```
Dy4Ho3Tm4
1.0
-1.7503 5.5330 8.9977
1.7503 -5.5330 8.9977
1.7503 5.5330 -8.9977
Dy Ho Tm
4 3 4
direct
0.2185 0.2185 0.0000
0.2935 0.5000 0.7935
0.7065 0.5000 0.2065
0.7815 0.7815 0.0000
0.0000 0.0000 0.0000
0.3905 0.8905 0.5000
0.6095 0.1095 0.5000
0.0720 0.3291 0.7429
0.4138 0.6709 0.7429
0.5862 0.3291 0.2571
0.9280 0.6709 0.2571
```


Entry 20:
First-principles (PBE-GGA) data for a geometry-optimized AsRu2Se structure, as listed in Alexandria via LeMat-Bulk.

Values from the calculation:
Energy above the most stable polymorph in this dataset   10.5 kJ per mole of atoms
SG   R-3m, No. 166

```
AsRu2Se
1.0
3.0365 0.0000 0.0000
-1.5182 2.6297 0.0000
0.0000 0.0000 22.9079
As Ru Se
3 6 3
direct
0.0000 0.0000 0.0000
0.3333 0.6667 0.6667
0.6667 0.3333 0.3333
0.0000 0.0000 0.2516
0.0000 0.0000 0.7484
0.3333 0.6667 0.4151
0.3333 0.6667 0.9183
0.6667 0.3333 0.0817
0.6667 0.3333 0.5849
0.0000 0.0000 0.5000
0.3333 0.6667 0.1667
0.6667 0.3333 0.8333
```


Number 1: ρ 9.585 g/cm³, total energy -38.47 eV per formula unit, total magnetization 0.0 μB/cell. Number 2: ρ 6.785 g/cm³, total energy -102.54 eV per formula unit, total magnetization 0.0 μB/cell. Number 3: ρ 9.299 g/cm³, total energy -51.12 eV per formula unit, total magnetization 0.0 μB/cell. Number 4: ρ 3.968 g/cm³, total energy -22.71 eV per formula unit, total magnetization 0.0 μB/cell. Number 5: ρ 6.673 g/cm³, total energy -30.22 eV per formula unit, total magnetization 0.3 μB/cell. Number 6: ρ 3.986 g/cm³, total energy -91.04 eV per formula unit, total magnetization 0.0 μB/cell. Number 7: ρ 7.924 g/cm³, total energy -49.38 eV per formula unit, total magnetization 0.0 μB/cell. Number 8: ρ 6.373 g/cm³, total energy -33.02 eV per formula unit, total magnetization 0.0 μB/cell. Number 9: ρ 3.815 g/cm³, total energy -28.64 eV per formula unit, total magnetization 2.2 μB/cell. Number 10: ρ 8.342 g/cm³, total energy -18.15 eV per formula unit, total magnetization 0.0 μB/cell. Number 11: ρ 5.120 g/cm³, total energy -26.84 eV per formula unit, total magnetization 4.0 μB/cell. Number 12: ρ 10.342 g/cm³, total energy -33.35 eV per formula unit, total magnetization 28.8 μB/cell. Number 13: ρ 13.334 g/cm³, total energy -35.66 eV per formula unit, total magnetization 3.2 μB/cell. Number 14: ρ 3.673 g/cm³, total energy -106.33 eV per formula unit, total magnetization 0.0 μB/cell. Number 15: ρ 6.049 g/cm³, total energy -29.59 eV per formula unit, total magnetization 2.0 μB/cell. Number 16: ρ 4.977 g/cm³, total energy -10.44 eV per formula unit, total magnetization 0.0 μB/cell. Number 17: ρ 7.843 g/cm³, total energy -49.12 eV per formula unit, total magnetization 0.0 μB/cell. Number 18: ρ 3.718 g/cm³, total energy -13.62 eV per formula unit, total magnetization 0.0 μB/cell. Number 19: ρ 8.673 g/cm³, total energy -48.01 eV per formula unit, total magnetization 0.0 μB/cell. Number 20: ρ 9.696 g/cm³, total energy -26.43 eV per formula unit, total magnetization 0.0 μB/cell.